## HfGaRh2N (GGA-PBE)

Data for a relaxed HfGaRh2N crystal.

extended XYZ file:
```
5
Lattice="4.160 0.000 0.000 0.000 4.228 0.000 0.000 0.000 4.160" Properties=species:S:1:pos:R:3 pbc="T T T"
Hf 0.000 2.114 0.000
N 0.000 0.000 0.000
Rh 2.080 0.000 0.000
Rh 0.000 0.000 2.080
Ga 2.080 2.114 2.080
```

Calculated values
- Raw formation energy: -0.418 eV per atom
- Size of the total moment: 0.00 Bohr magnetons per cell
- SG: No. 123

---

## AlSiBr2 (GGA-PBE)

Data for a relaxed AlSiBr2 crystal.

extended XYZ file:
```
4
Lattice="-1.531 -3.077 -0.831 2.096 -1.733 2.557 -6.180 1.442 6.043" Properties=species:S:1:pos:R:3 pbc="T T T"
Br -5.729 1.337 5.602
Si -4.151 0.969 4.060
Al -3.303 -1.568 4.371
Br -1.699 -1.943 2.802
```

Calculated values
- Raw formation energy: -0.336 eV per atom
- Size of the total moment: 0.00 Bohr magnetons per cell
- SG: No. 25

---

## ScNb6Re5 (GGA-PBE)

Data for a relaxed ScNb6Re5 crystal.

extended XYZ file:
```
12
Lattice="-4.263 0.227 -1.605 -1.496 -5.402 3.207 1.033 6.324 4.631" Properties=species:S:1:pos:R:3 pbc="T T T"
Re -0.748 -2.701 1.604
Nb -3.244 -3.905 1.583
Sc 0.000 0.000 0.000
Re -3.494 -1.343 2.610
Re -1.231 2.492 3.623
Re -1.981 -0.205 5.233
Re -2.745 1.354 1.001
Nb -1.007 -0.099 2.660
Nb -2.515 -1.270 0.019
Nb -2.981 3.911 1.992
Nb -1.744 -2.762 4.242
Nb -3.719 1.248 3.573
```

Calculated values
- Size of the total moment: 0.00 Bohr magnetons per cell
- SG: No. 71
- Energy of formation from the pure elements: -0.20 eV/atom

---

## La2HoAu (GGA-PBE)

Data for a relaxed La2HoAu crystal.

extended XYZ file:
```
4
Lattice="-3.254 -1.222 -1.609 -0.725 -3.753 -0.243 -5.918 -1.357 8.443" Properties=species:S:1:pos:R:3 pbc="T T T"
Au -8.561 -4.674 7.189
La -2.326 -1.593 1.355
Ho -4.961 -3.165 3.321
La -4.916 -1.423 6.466
```

Calculated values
- Size of the total moment: 0.00 Bohr magnetons per cell
- SG: No. 160
- Energy of formation from the pure elements: -0.25 eV/atom